[1]
Below is crystalline Ca2LaY at its relaxed geometry, with properties calculated at the PBE level. Values from VASP.

distance to the lowest polymorph of the same formula: 0.080 eV per atom
SG: No. 12
ΔE_f: 122 meV/atom
total magnetic moment: 0.01 μB per formula unit
calculated total energy: -29.82 eV per cell

The structure in Quantum ESPRESSO input format:
```
&SYSTEM
  ibrav = 0, nat = 8, ntyp = 3
/
ATOMIC_SPECIES
Ca 40.08 Ca.upf
La 138.91 La.upf
Y 88.91 Y.upf
ATOMIC_POSITIONS crystal
Ca 0.250 0.250 0.000
Ca 0.250 0.750 0.000
Ca 0.750 0.250 0.000
Ca 0.750 0.750 0.000
La 0.000 0.000 0.500
La 0.500 0.500 0.500
Y 0.000 0.500 0.500
Y 0.500 0.000 0.500
CELL_PARAMETERS angstrom
7.220 0.000 0.000
0.000 12.519 0.000
-1.374 0.000 3.321
```

[2]
Below is crystalline Ca2LaY at its relaxed geometry, with properties calculated at the PBE level. Values from VASP.

distance to the lowest polymorph of the same formula: 0.093 eV per atom
SG: No. 123
ΔE_f: 134 meV/atom
total magnetic moment: 0.00 μB per formula unit
calculated total energy: -14.86 eV per cell

The structure in Quantum ESPRESSO input format:
```
&SYSTEM
  ibrav = 0, nat = 4, ntyp = 3
/
ATOMIC_SPECIES
Ca 40.08 Ca.upf
La 138.91 La.upf
Y 88.91 Y.upf
ATOMIC_POSITIONS crystal
Ca 0.000 0.000 0.240
Ca 0.000 0.000 0.760
La 0.500 0.500 0.500
Y 0.500 0.500 0.000
CELL_PARAMETERS angstrom
4.204 0.000 0.000
0.000 4.204 0.000
0.000 0.000 8.488
```

[3]
Below is crystalline CaLa2Y at its relaxed geometry, with properties calculated at the PBE level. Values from VASP.

distance to the lowest polymorph of the same formula: 0.083 eV per atom
SG: No. 10
ΔE_f: 107 meV/atom
total magnetic moment: 0.00 μB per formula unit
calculated total energy: -17.89 eV per cell

The structure in Quantum ESPRESSO input format:
```
&SYSTEM
  ibrav = 0, nat = 4, ntyp = 3
/
ATOMIC_SPECIES
Ca 40.08 Ca.upf
La 138.91 La.upf
Y 88.91 Y.upf
ATOMIC_POSITIONS crystal
Ca 0.000 0.000 0.000
La 0.287 0.500 0.722
La 0.713 0.500 0.278
Y 0.500 0.000 0.500
CELL_PARAMETERS angstrom
3.595 0.000 0.000
0.000 6.038 0.000
-1.110 0.000 6.819
```

[4]
Below is crystalline Ca2LaY2 at its relaxed geometry, with properties calculated at the PBE level. Values from VASP.

distance to the lowest polymorph of the same formula: 0.000 eV per atom
SG: No. 127
ΔE_f: 203 meV/atom
total magnetic moment: 0.00 μB per formula unit
calculated total energy: -41.68 eV per cell

The structure in Quantum ESPRESSO input format:
```
&SYSTEM
  ibrav = 0, nat = 10, ntyp = 3
/
ATOMIC_SPECIES
Ca 40.08 Ca.upf
La 138.91 La.upf
Y 88.91 Y.upf
ATOMIC_POSITIONS crystal
Ca 0.171 0.329 0.000
Ca 0.329 0.829 0.000
Ca 0.671 0.171 0.000
Ca 0.829 0.671 0.000
La 0.000 0.000 0.500
La 0.500 0.500 0.500
Y 0.126 0.626 0.500
Y 0.374 0.126 0.500
Y 0.626 0.874 0.500
Y 0.874 0.374 0.500
CELL_PARAMETERS angstrom
9.625 0.000 0.000
0.000 9.625 0.000
0.000 0.000 3.978
```

[5]
Below is crystalline Ca2La15Y2 at its relaxed geometry, with properties calculated at the PBE level. Values from VASP.

SG: No. 166
ΔE_f: 186 meV/atom
total magnetic moment: 0.00 μB per formula unit
calculated total energy: -87.31 eV per cell

The structure in Quantum ESPRESSO input format:
```
&SYSTEM
  ibrav = 0, nat = 19, ntyp = 3
/
ATOMIC_SPECIES
Ca 40.08 Ca.upf
La 138.91 La.upf
Y 88.91 Y.upf
ATOMIC_POSITIONS crystal
Ca 0.171 0.171 0.171
Ca 0.829 0.829 0.829
La 0.000 0.500 0.500
La 0.137 0.137 0.649
La 0.137 0.649 0.137
La 0.207 0.500 0.793
La 0.207 0.793 0.500
La 0.351 0.863 0.863
La 0.500 0.000 0.500
La 0.500 0.207 0.793
La 0.500 0.500 0.000
La 0.500 0.793 0.207
La 0.649 0.137 0.137
La 0.793 0.207 0.500
La 0.793 0.500 0.207
La 0.863 0.351 0.863
La 0.863 0.863 0.351
Y 0.404 0.404 0.404
Y 0.596 0.596 0.596
CELL_PARAMETERS angstrom
5.910 3.412 5.998
-5.910 3.412 5.998
0.000 -6.824 5.998
```

[6]
Below is crystalline Ca2LaY2 at its relaxed geometry, with properties calculated at the PBE level. Values from VASP.

distance to the lowest polymorph of the same formula: 0.193 eV per atom
SG: No. 139
ΔE_f: 396 meV/atom
total magnetic moment: 0.00 μB per formula unit
calculated total energy: -39.76 eV per cell

The structure in Quantum ESPRESSO input format:
```
&SYSTEM
  ibrav = 0, nat = 10, ntyp = 3
/
ATOMIC_SPECIES
Ca 40.08 Ca.upf
La 138.91 La.upf
Y 88.91 Y.upf
ATOMIC_POSITIONS crystal
Ca 0.000 0.000 0.099
Ca 0.000 0.000 0.901
Ca 0.500 0.500 0.401
Ca 0.500 0.500 0.599
La 0.000 0.000 0.500
La 0.500 0.500 0.000
Y 0.000 0.500 0.250
Y 0.000 0.500 0.750
Y 0.500 0.000 0.250
Y 0.500 0.000 0.750
CELL_PARAMETERS angstrom
4.545 0.000 0.000
0.000 4.545 0.000
0.000 0.000 19.027
```

[7]
Below is crystalline CaLa2Y at its relaxed geometry, with properties calculated at the PBE level. Values from VASP.

distance to the lowest polymorph of the same formula: 0.081 eV per atom
SG: No. 44
ΔE_f: 105 meV/atom
total magnetic moment: 0.00 μB per formula unit
calculated total energy: -35.80 eV per cell

The structure in Quantum ESPRESSO input format:
```
&SYSTEM
  ibrav = 0, nat = 8, ntyp = 3
/
ATOMIC_SPECIES
Ca 40.08 Ca.upf
La 138.91 La.upf
Y 88.91 Y.upf
ATOMIC_POSITIONS crystal
Ca 0.000 0.000 0.000
Ca 0.500 0.500 0.500
La 0.000 0.000 0.513
La 0.000 0.500 0.753
La 0.500 0.000 0.253
La 0.500 0.500 0.013
Y 0.000 0.500 0.260
Y 0.500 0.000 0.760
CELL_PARAMETERS angstrom
4.066 0.000 0.000
0.000 6.042 0.000
0.000 0.000 12.034
```

[8]
Below is crystalline CaLa2Y at its relaxed geometry, with properties calculated at the PBE level. Values from VASP.

distance to the lowest polymorph of the same formula: 0.031 eV per atom
SG: No. 99
ΔE_f: 54 meV/atom
total magnetic moment: 0.00 μB per formula unit
calculated total energy: -18.10 eV per cell

The structure in Quantum ESPRESSO input format:
```
&SYSTEM
  ibrav = 0, nat = 4, ntyp = 3
/
ATOMIC_SPECIES
Ca 40.08 Ca.upf
La 138.91 La.upf
Y 88.91 Y.upf
ATOMIC_POSITIONS crystal
Ca 0.000 0.000 0.000
La 0.000 0.000 0.513
La 0.500 0.500 0.275
Y 0.500 0.500 0.746
CELL_PARAMETERS angstrom
3.742 0.000 0.000
0.000 3.742 0.000
0.000 0.000 10.548
```

[9]
Below is crystalline CaLa4Y3 at its relaxed geometry, with properties calculated at the PBE level. Values from VASP.

SG: No. 59
ΔE_f: 61 meV/atom
total magnetic moment: 0.00 μB per formula unit
calculated total energy: -81.23 eV per cell

The structure in Quantum ESPRESSO input format:
```
&SYSTEM
  ibrav = 0, nat = 16, ntyp = 3
/
ATOMIC_SPECIES
Ca 40.08 Ca.upf
La 138.91 La.upf
Y 88.91 Y.upf
ATOMIC_POSITIONS crystal
Ca 0.250 0.250 0.121
Ca 0.750 0.750 0.879
La 0.250 0.250 0.627
La 0.250 0.505 0.375
La 0.250 0.750 0.615
La 0.250 0.995 0.375
La 0.750 0.005 0.625
La 0.750 0.250 0.385
La 0.750 0.495 0.625
La 0.750 0.750 0.373
Y 0.250 0.005 0.878
Y 0.250 0.495 0.878
Y 0.250 0.750 0.125
Y 0.750 0.250 0.875
Y 0.750 0.505 0.122
Y 0.750 0.995 0.122
CELL_PARAMETERS angstrom
5.247 0.000 0.000
0.000 10.535 0.000
0.000 0.000 10.329
```

[10]
Below is crystalline CaLa5Y6 at its relaxed geometry, with properties calculated at the PBE level. Values from VASP.

SG: No. 12
ΔE_f: 36 meV/atom
total magnetic moment: 0.00 μB per formula unit
calculated total energy: -64.99 eV per cell

The structure in Quantum ESPRESSO input format:
```
&SYSTEM
  ibrav = 0, nat = 12, ntyp = 3
/
ATOMIC_SPECIES
Ca 40.08 Ca.upf
La 138.91 La.upf
Y 88.91 Y.upf
ATOMIC_POSITIONS crystal
Ca 0.000 0.000 0.000
La 0.170 0.830 0.500
La 0.335 0.665 0.000
La 0.500 0.500 0.500
La 0.665 0.335 0.000
La 0.830 0.170 0.500
Y 0.086 0.422 0.254
Y 0.253 0.253 0.748
Y 0.422 0.086 0.254
Y 0.578 0.914 0.746
Y 0.747 0.747 0.252
Y 0.914 0.578 0.746
CELL_PARAMETERS angstrom
6.035 -5.505 0.000
6.035 5.505 0.000
-1.108 0.000 6.277
```